## Cu3Ag (PBE-GGA)

Data for an optimized crystal structure of Cu3Ag.

```
data_Cu3Ag
_symmetry_space_group_name_H-M 'P 4/m m m'
_symmetry_Int_Tables_number 123
_symmetry_space_group_name_Hall '-P 4 2'
_cell_length_a 2.730
_cell_length_b 2.730
_cell_length_c 7.244
_cell_angle_alpha 90.00
_cell_angle_beta 90.00
_cell_angle_gamma 90.00
loop_
_atom_site_label
_atom_site_type_symbol
_atom_site_fract_x
_atom_site_fract_y
_atom_site_fract_z
Cu1 Cu 0.000 0.000 0.000
Cu2 Cu 0.500 0.500 0.225
Ag1 Ag 0.000 0.000 0.500
```

Output
ΔE_f (eV per atom): 0.080
Magnetic moment (μB per cell): 0.000
Fermi-level density of states (states/eV per atom): 0.490



## Ba3Mg2Tl2Hg4 (PBE-GGA)

Data for an optimized crystal structure of Ba3Mg2Tl2Hg4.

```
data_Ba3Mg2Tl2Hg4
_symmetry_space_group_name_H-M 'P -3 m 1'
_symmetry_Int_Tables_number 164
_symmetry_space_group_name_Hall '-P 3 2"'
_cell_length_a 5.2882
_cell_length_b 5.2882
_cell_length_c 15.1058
_cell_angle_alpha 90.00
_cell_angle_beta 90.00
_cell_angle_gamma 120.00
loop_
_atom_site_label
_atom_site_type_symbol
_atom_site_fract_x
_atom_site_fract_y
_atom_site_fract_z
Ba1 Ba 0.0000 0.0000 0.0000
Ba2 Ba 0.0000 0.0000 0.2804
Mg1 Mg 0.3333 0.6667 0.5674
Tl1 Tl 0.3333 0.6667 0.1434
Hg1 Hg 0.3333 0.6667 0.3841
Hg2 Hg 0.3333 0.6667 0.8667
```

Output
ΔE_f (eV per atom): -0.338
Magnetic moment (μB per cell): 0.000
Fermi-level density of states (states/eV per atom): 0.778